Entry 1:
Material: LiZnCu3
Method: DFT, PBE-GGA
State: relaxed

Properties
- Formation energy: -0.071 eV/atom
- E above lowest polymorph: 0.000 eV per atom
- Total magnetization: 0.0 μB per cell
- VASP energy: -3.166 eV per atom

abc: 3.608 3.758 9.407
angles: 90.10 100.99 90.07
Sites, in units of the cell vectors:
Li 0.153 0.249 0.308
Li 0.847 0.751 0.692
Zn 0.447 0.751 0.894
Zn 0.553 0.249 0.106
Cu 0.050 0.750 0.101
Cu 0.249 0.751 0.498
Cu 0.348 0.252 0.695
Cu 0.652 0.748 0.305
Cu 0.751 0.249 0.502
Cu 0.950 0.250 0.899

---

Entry 2:
Material: Li2PmIn
Method: DFT, PBE-GGA
State: relaxed

Properties
- Formation energy: -0.100 eV/atom
- Total magnetization: 0.2 μB per cell
- VASP energy: -2.930 eV per atom

abc: 3.670 3.670 6.889
angles: 90.00 90.00 90.00
Sites, in units of the cell vectors:
Li 0.000 0.000 0.203
Li 0.000 0.000 0.797
Pm 0.500 0.500 0.500
In 0.500 0.500 0.000

---

> Look up the formation energy of the second one.

-0.100 eV/atom